Ac2ZnIr | GGA-PBE | relaxed

The structure in CIF format:
```
data_Ac2ZnIr
_chemical_formula_sum 'Ac2 Zn1 Ir1'
_symmetry_space_group_name_H-M 'P 1'
_symmetry_Int_Tables_number 1
_cell_length_a 5.3650
_cell_length_b 5.3650
_cell_length_c 5.3650
_cell_angle_alpha 60.00
_cell_angle_beta 60.00
_cell_angle_gamma 60.00
loop_
_symmetry_equiv_pos_as_xyz
'x,y,z'
loop_
_atom_site_label
_atom_site_fract_x
_atom_site_fract_y
_atom_site_fract_z
Ac1 0.7500 0.7500 0.7500
Ac2 0.2500 0.2500 0.2500
Zn1 0.0000 0.0000 0.0000
Ir1 0.5000 0.5000 0.5000
```

Summary:
The formation energy from the elements comes out at -1.5 eV per formula unit. As for the electronic total energy: -19.8 eV/cell. The energy above the lowest structure with this stoichiometry is 112 meV per atom. For the size of the total moment, the calculation gives 0.00 μB/f.u. As for the symmetry: Fm-3m. The calculation puts the density at 10.8 g/cm3.